Entry 1:
A geometry-optimized HoPuGa2 structure. Source: Alexandria via LeMat-Bulk, functional PBE-GGA.

Calculated values
DFT total energy = -6.649 eV/atom
Space-group type = P4/mmm (123)
Distance to the lowest polymorph of the same formula = 0.03 eV/f.u.

The structure in POSCAR format:
```
HoPuGa2
1.0
3.271 0.000 0.000
0.000 3.271 0.000
0.000 0.000 8.332
Ho Pu Ga
1 1 2
Direct
0.000 0.000 0.000
0.000 0.000 0.500
0.500 0.500 0.247
0.500 0.500 0.753
```


Entry 2:
A geometry-optimized Ho4PuGa15 structure. Source: Alexandria via LeMat-Bulk, functional PBE-GGA.

Calculated values
DFT total energy = -4.403 eV/atom
Space-group type = P4/mmm (123)

The structure in POSCAR format:
```
Ho4PuGa15
1.0
4.269 0.000 0.000
0.000 4.269 0.000
0.000 0.000 21.263
Ho Pu Ga
4 1 15
Direct
0.000 0.000 0.100
0.000 0.000 0.299
0.000 0.000 0.701
0.000 0.000 0.900
0.000 0.000 0.500
0.000 0.500 0.000
0.000 0.500 0.200
0.000 0.500 0.401
0.000 0.500 0.599
0.000 0.500 0.800
0.500 0.000 0.000
0.500 0.000 0.200
0.500 0.000 0.401
0.500 0.000 0.599
0.500 0.000 0.800
0.500 0.500 0.100
0.500 0.500 0.300
0.500 0.500 0.500
0.500 0.500 0.700
0.500 0.500 0.900
```


Copy entry 1 word for word.
A geometry-optimized HoPuGa2 structure. Source: Alexandria via LeMat-Bulk, functional PBE-GGA.

Calculated values
DFT total energy = -6.649 eV/atom
Space-group type = P4/mmm (123)
Distance to the lowest polymorph of the same formula = 0.03 eV/f.u.

The structure in POSCAR format:
```
HoPuGa2
1.0
3.271 0.000 0.000
0.000 3.271 0.000
0.000 0.000 8.332
Ho Pu Ga
1 1 2
Direct
0.000 0.000 0.000
0.000 0.000 0.500
0.500 0.500 0.247
0.500 0.500 0.753
```


Repeat the first record exactly.
A geometry-optimized HoPuGa2 structure. Source: Alexandria via LeMat-Bulk, functional PBE-GGA.

Calculated values
DFT total energy = -6.649 eV/atom
Space-group type = P4/mmm (123)
Distance to the lowest polymorph of the same formula = 0.03 eV/f.u.

The structure in POSCAR format:
```
HoPuGa2
1.0
3.271 0.000 0.000
0.000 3.271 0.000
0.000 0.000 8.332
Ho Pu Ga
1 1 2
Direct
0.000 0.000 0.000
0.000 0.000 0.500
0.500 0.500 0.247
0.500 0.500 0.753
```


Copy entry 2 word for word.
A geometry-optimized Ho4PuGa15 structure. Source: Alexandria via LeMat-Bulk, functional PBE-GGA.

Calculated values
DFT total energy = -4.403 eV/atom
Space-group type = P4/mmm (123)

The structure in POSCAR format:
```
Ho4PuGa15
1.0
4.269 0.000 0.000
0.000 4.269 0.000
0.000 0.000 21.263
Ho Pu Ga
4 1 15
Direct
0.000 0.000 0.100
0.000 0.000 0.299
0.000 0.000 0.701
0.000 0.000 0.900
0.000 0.000 0.500
0.000 0.500 0.000
0.000 0.500 0.200
0.000 0.500 0.401
0.000 0.500 0.599
0.000 0.500 0.800
0.500 0.000 0.000
0.500 0.000 0.200
0.500 0.000 0.401
0.500 0.000 0.599
0.500 0.000 0.800
0.500 0.500 0.100
0.500 0.500 0.300
0.500 0.500 0.500
0.500 0.500 0.700
0.500 0.500 0.900
```


- What is the formula in the first record?
  HoPuGa2